[1]
Entry from the Alexandria database: a geometry-optimized SrMgCr2 structure (GGA-PBE).

Cell: 4.348 4.348 10.537 Å, 78.09 78.09 90.00°
Atoms (fractional coordinates):
Sr: 0.750 0.250 0.500
Cr: 0.375 0.625 0.250
Cr: 0.375 0.625 0.750
Cr: 0.875 0.625 0.750
Mg: 0.500 0.500 0.000
Cr: 0.375 0.125 0.250
Sr: 0.000 0.000 0.000
Mg: 0.250 0.750 0.500

Summary:
* total DFT energy (no corrections): -4.459 eV/atom
* calculated formation energy: 1172 meV per atom

=====

[2]
Entry from the Alexandria database: a geometry-optimized SrMgCr structure (GGA-PBE).

Cell: 6.478 6.478 6.478 Å, 145.54 145.59 49.50°
Each line ends with the local moment (μB).
Atoms (fractional coordinates):
Sr: 0.662 0.662 0.000  0.02
Cr: 0.971 0.971 0.000  3.88
Mg: 0.368 0.368 0.000  -0.02

Summary:
* total DFT energy (no corrections): -3.829 eV/atom
* calculated formation energy: 471 meV per atom
* excess energy over the best structure of this formula in the dataset: 0.0000 eV per atom

=====

[3]
Entry from the Alexandria database: a geometry-optimized SrMg14Cr structure (GGA-PBE).

Cell: 6.557 6.557 10.525 Å, 90.00 90.00 121.68°
Each line ends with the local moment (μB).
Atoms (fractional coordinates):
Mg: 0.816 0.675 0.500  -0.01
Mg: 0.839 0.672 0.000  0.00
Mg: 0.176 0.824 0.269  0.00
Sr: 0.820 0.180 0.500  0.00
Mg: 0.176 0.334 0.246  -0.01
Mg: 0.666 0.824 0.246  -0.01
Mg: 0.664 0.336 0.236  0.01
Mg: 0.176 0.824 0.731  0.00
Mg: 0.332 0.668 0.000  0.00
Cr: 0.340 0.660 0.500  3.74
Mg: 0.176 0.334 0.754  -0.01
Mg: 0.664 0.336 0.764  0.01
Mg: 0.666 0.824 0.754  -0.01
Mg: 0.835 0.165 0.000  0.00
Mg: 0.328 0.161 0.000  0.00
Mg: 0.325 0.184 0.500  -0.01

Summary:
* total DFT energy (no corrections): -1.995 eV/atom
* calculated formation energy: 107 meV per atom
* excess energy over the best structure of this formula in the dataset: 0.0000 eV per atom

=====

[4]
Entry from the Alexandria database: a geometry-optimized SrMgCrTe2 structure (GGA-PBE).

Cell: 6.106 5.753 6.106 Å, 90.00 90.00 90.00°
Each line ends with the local moment (μB).
Atoms (fractional coordinates):
Te: 0.500 0.000 0.000  0.04
Te: 0.000 0.000 0.500  0.05
Cr: 0.000 0.500 0.000  4.45
Sr: 0.000 0.000 0.000  0.11
Mg: 0.500 0.500 0.500  -0.03

Summary:
* total DFT energy (no corrections): -3.197 eV/atom
* energy relative to the elements, uncorrected: 61.76 kJ per mole of atoms